[1]
Entry from Alexandria: a geometry-optimized CdPb structure (PBEsol).

```
CdPb
1.0
10.822 0.000 0.000
0.000 9.357 0.000
0.000 0.000 6.173
Cd Pb
12 12
direct
0.048 0.037 0.250 Cd
0.048 0.463 0.750 Cd
0.367 0.589 0.250 Cd
0.367 0.911 0.750 Cd
0.447 0.250 0.000 Cd
0.447 0.250 0.500 Cd
0.553 0.750 0.000 Cd
0.553 0.750 0.500 Cd
0.633 0.089 0.250 Cd
0.633 0.411 0.750 Cd
0.952 0.537 0.250 Cd
0.952 0.963 0.750 Cd
0.132 0.750 0.000 Pb
0.132 0.750 0.500 Pb
0.189 0.168 0.750 Pb
0.189 0.332 0.250 Pb
0.337 0.523 0.750 Pb
0.337 0.977 0.250 Pb
0.663 0.023 0.750 Pb
0.663 0.477 0.250 Pb
0.811 0.668 0.750 Pb
0.811 0.832 0.250 Pb
0.868 0.250 0.000 Pb
0.868 0.250 0.500 Pb
```

Results
The formation energy comes out at 0.079 eV per atom. As for the density of states at the Fermi level: 0.9 states/eV/f.u.



[2]
Entry from Alexandria: a geometry-optimized Cd24Pb5 structure (PBEsol).

```
Cd24Pb5
1.0
-5.475 5.475 5.475
5.475 -5.475 5.475
5.475 5.475 -5.475
Cd Pb
24 5
direct
0.000 0.192 0.385 Cd
0.000 0.385 0.192 Cd
0.000 0.410 0.680 Cd
0.000 0.680 0.410 Cd
0.192 0.000 0.385 Cd
0.192 0.385 0.000 Cd
0.194 0.808 0.808 Cd
0.270 0.590 0.590 Cd
0.320 0.320 0.730 Cd
0.320 0.730 0.320 Cd
0.385 0.000 0.192 Cd
0.385 0.192 0.000 Cd
0.410 0.000 0.680 Cd
0.410 0.680 0.000 Cd
0.590 0.270 0.590 Cd
0.590 0.590 0.270 Cd
0.615 0.615 0.806 Cd
0.615 0.806 0.615 Cd
0.680 0.000 0.410 Cd
0.680 0.410 0.000 Cd
0.730 0.320 0.320 Cd
0.806 0.615 0.615 Cd
0.808 0.194 0.808 Cd
0.808 0.808 0.194 Cd
0.000 0.000 0.000 Pb
0.000 0.000 0.646 Pb
0.000 0.646 0.000 Pb
0.354 0.354 0.354 Pb
0.646 0.000 0.000 Pb
```

Results
The formation energy comes out at 0.029 eV per atom. As for the density of states at the Fermi level: 9.4 states/eV/f.u.



[3]
Entry from Alexandria: a geometry-optimized Cd2Pb structure (PBEsol).

```
Cd2Pb
1.0
3.335 0.000 0.000
0.000 5.183 0.000
0.000 0.000 17.904
Cd Pb
8 4
direct
0.000 0.250 0.031 Cd
0.000 0.250 0.187 Cd
0.000 0.750 0.813 Cd
0.000 0.750 0.969 Cd
0.500 0.250 0.313 Cd
0.500 0.250 0.469 Cd
0.500 0.750 0.531 Cd
0.500 0.750 0.687 Cd
0.000 0.250 0.625 Pb
0.000 0.750 0.375 Pb
0.500 0.250 0.875 Pb
0.500 0.750 0.125 Pb
```

Results
The formation energy comes out at 0.119 eV per atom. As for the density of states at the Fermi level: 1.4 states/eV/f.u.



[4]
Entry from Alexandria: a geometry-optimized Cd2Pb structure (PBEsol).

```
Cd2Pb
1.0
3.294 0.000 0.000
0.000 3.294 0.000
0.000 0.000 13.293
Cd Pb
4 2
direct
0.000 0.000 0.178 Cd
0.000 0.000 0.822 Cd
0.500 0.500 0.322 Cd
0.500 0.500 0.678 Cd
0.000 0.000 0.500 Pb
0.500 0.500 0.000 Pb
```

Results
The formation energy comes out at 0.057 eV per atom. As for the density of states at the Fermi level: 1.2 states/eV/f.u.



[5]
Entry from Alexandria: a geometry-optimized Cd3Pb structure (PBEsol).

```
Cd3Pb
1.0
3.161 0.000 0.000
0.000 4.280 0.000
0.000 0.000 6.944
Cd Pb
3 1
direct
0.000 0.000 0.000 Cd
0.500 0.500 0.223 Cd
0.500 0.500 0.777 Cd
0.000 0.000 0.500 Pb
```

Results
The formation energy comes out at 0.057 eV per atom. As for the density of states at the Fermi level: 1.4 states/eV/f.u.



[6]
Entry from Alexandria: a geometry-optimized CdPb structure (PBEsol).

```
CdPb
1.0
11.303 0.000 0.000
0.000 3.346 0.000
-3.270 0.000 8.162
Cd Pb
6 6
direct
0.000 0.000 0.000 Cd
0.048 0.000 0.517 Cd
0.401 0.000 0.209 Cd
0.500 0.500 0.000 Cd
0.548 0.500 0.517 Cd
0.901 0.500 0.209 Cd
0.191 0.500 0.873 Pb
0.204 0.500 0.311 Pb
0.363 0.000 0.665 Pb
0.691 0.000 0.873 Pb
0.704 0.000 0.311 Pb
0.863 0.500 0.665 Pb
```

Results
The formation energy comes out at 0.057 eV per atom. As for the density of states at the Fermi level: 0.8 states/eV/f.u.



[7]
Entry from Alexandria: a geometry-optimized Cd5Pb structure (PBEsol).

```
Cd5Pb
1.0
5.359 0.000 0.000
0.000 3.041 0.000
0.000 0.000 16.754
Cd Pb
10 2
direct
0.000 0.000 0.000 Cd
0.000 0.000 0.322 Cd
0.000 0.000 0.659 Cd
0.000 0.500 0.159 Cd
0.000 0.500 0.500 Cd
0.000 0.500 0.822 Cd
0.500 0.000 0.119 Cd
0.500 0.000 0.773 Cd
0.500 0.500 0.273 Cd
0.500 0.500 0.619 Cd
0.500 0.000 0.444 Pb
0.500 0.500 0.944 Pb
```

Results
The formation energy comes out at 0.066 eV per atom. Its energy above the most stable polymorph in this dataset is 26 meV/atom. As for the density of states at the Fermi level: 2.1 states/eV/f.u.



[8]
Entry from Alexandria: a geometry-optimized Cd4Pb structure (PBEsol).

```
Cd4Pb
1.0
-4.948 4.948 4.948
4.948 -4.948 4.948
4.948 4.948 -4.948
Cd Pb
16 4
direct
0.000 0.000 0.778 Cd
0.000 0.349 0.349 Cd
0.000 0.651 0.651 Cd
0.000 0.778 0.000 Cd
0.222 0.222 0.222 Cd
0.250 0.500 0.750 Cd
0.250 0.750 0.500 Cd
0.349 0.000 0.349 Cd
0.349 0.349 0.000 Cd
0.500 0.250 0.750 Cd
0.500 0.750 0.250 Cd
0.651 0.000 0.651 Cd
0.651 0.651 0.000 Cd
0.750 0.250 0.500 Cd
0.750 0.500 0.250 Cd
0.778 0.000 0.000 Cd
0.000 0.000 0.419 Pb
0.000 0.419 0.000 Pb
0.419 0.000 0.000 Pb
0.581 0.581 0.581 Pb
```

Results
The formation energy comes out at 0.103 eV per atom. Its energy above the most stable polymorph in this dataset is 47 meV/atom. As for the density of states at the Fermi level: 1.9 states/eV/f.u.



[9]
Entry from Alexandria: a geometry-optimized Cd2Pb structure (PBEsol).

```
Cd2Pb
1.0
11.783 0.000 0.000
0.000 5.296 0.000
0.000 0.000 4.722
Cd Pb
8 4
direct
0.185 0.176 0.250 Cd
0.185 0.824 0.750 Cd
0.315 0.324 0.750 Cd
0.315 0.676 0.250 Cd
0.685 0.324 0.750 Cd
0.685 0.676 0.250 Cd
0.815 0.176 0.250 Cd
0.815 0.824 0.750 Cd
0.000 0.279 0.750 Pb
0.000 0.721 0.250 Pb
0.500 0.221 0.250 Pb
0.500 0.779 0.750 Pb
```

Results
The formation energy comes out at 0.060 eV per atom. As for the density of states at the Fermi level: 1.2 states/eV/f.u.



[10]
Entry from Alexandria: a geometry-optimized CdPb3 structure (PBEsol).

```
CdPb3
1.0
3.483 0.000 0.000
0.000 4.612 0.000
-0.468 0.000 6.924
Cd Pb
1 3
direct
0.000 0.000 0.000 Cd
0.000 0.000 0.500 Pb
0.473 0.500 0.235 Pb
0.527 0.500 0.765 Pb
```

Results
The formation energy comes out at 0.042 eV per atom. As for the density of states at the Fermi level: 2.1 states/eV/f.u.



[11]
Entry from Alexandria: a geometry-optimized CdPb structure (PBEsol).

```
CdPb
1.0
3.724 0.000 0.000
0.000 5.279 0.000
0.000 0.000 10.599
Cd Pb
4 4
direct
0.000 0.250 0.140 Cd
0.000 0.750 0.860 Cd
0.500 0.250 0.360 Cd
0.500 0.750 0.640 Cd
0.000 0.250 0.614 Pb
0.000 0.750 0.386 Pb
0.500 0.250 0.886 Pb
0.500 0.750 0.114 Pb
```

Results
The formation energy comes out at 0.075 eV per atom. As for the density of states at the Fermi level: 0.9 states/eV/f.u.



[12]
Entry from Alexandria: a geometry-optimized Cd5Pb structure (PBEsol).

```
Cd5Pb
1.0
5.700 0.000 0.000
-2.850 4.936 0.000
0.000 0.000 4.863
Cd Pb
5 1
direct
0.000 0.374 0.000 Cd
0.333 0.667 0.500 Cd
0.374 0.000 0.000 Cd
0.626 0.626 0.000 Cd
0.667 0.333 0.500 Cd
0.000 0.000 0.500 Pb
```

Results
The formation energy comes out at 0.057 eV per atom. Its energy above the most stable polymorph in this dataset is 18 meV/atom. As for the density of states at the Fermi level: 2.2 states/eV/f.u.



[13]
Entry from Alexandria: a geometry-optimized Cd12Pb17 structure (PBEsol).

```
Cd12Pb17
1.0
-5.759 5.759 5.759
5.759 -5.759 5.759
5.759 5.759 -5.759
Cd Pb
12 17
direct
0.000 0.636 0.815 Cd
0.000 0.815 0.636 Cd
0.180 0.364 0.364 Cd
0.185 0.185 0.820 Cd
0.185 0.820 0.185 Cd
0.364 0.180 0.364 Cd
0.364 0.364 0.180 Cd
0.636 0.000 0.815 Cd
0.636 0.815 0.000 Cd
0.815 0.000 0.636 Cd
0.815 0.636 0.000 Cd
0.820 0.185 0.185 Cd
0.000 0.000 0.000 Pb
0.000 0.000 0.341 Pb
0.000 0.315 0.603 Pb
0.000 0.341 0.000 Pb
0.000 0.603 0.315 Pb
0.287 0.685 0.685 Pb
0.315 0.000 0.603 Pb
0.315 0.603 0.000 Pb
0.341 0.000 0.000 Pb
0.397 0.397 0.713 Pb
0.397 0.713 0.397 Pb
0.603 0.000 0.315 Pb
0.603 0.315 0.000 Pb
0.659 0.659 0.659 Pb
0.685 0.287 0.685 Pb
0.685 0.685 0.287 Pb
0.713 0.397 0.397 Pb
```

Results
The formation energy comes out at 0.037 eV per atom. As for the density of states at the Fermi level: 11.7 states/eV/f.u.



[14]
Entry from Alexandria: a geometry-optimized Cd2Pb structure (PBEsol).

```
Cd2Pb
1.0
-2.286 2.286 13.869
2.286 -2.286 13.869
2.286 2.286 -13.869
Cd Pb
8 4
direct
0.125 0.375 0.750 Cd
0.297 0.547 0.750 Cd
0.375 0.125 0.250 Cd
0.453 0.703 0.750 Cd
0.547 0.297 0.250 Cd
0.625 0.875 0.750 Cd
0.703 0.453 0.250 Cd
0.875 0.625 0.250 Cd
0.044 0.794 0.250 Pb
0.206 0.956 0.250 Pb
0.794 0.044 0.750 Pb
0.956 0.206 0.750 Pb
```

Results
The formation energy comes out at 0.063 eV per atom. As for the density of states at the Fermi level: 1.2 states/eV/f.u.



[15]
Entry from Alexandria: a geometry-optimized CdPb structure (PBEsol).

```
CdPb
1.0
3.576 0.000 0.000
0.000 11.806 0.000
0.000 0.000 4.927
Cd Pb
4 4
direct
0.000 0.074 0.250 Cd
0.000 0.926 0.750 Cd
0.500 0.426 0.750 Cd
0.500 0.574 0.250 Cd
0.000 0.340 0.250 Pb
0.000 0.660 0.750 Pb
0.500 0.160 0.750 Pb
0.500 0.840 0.250 Pb
```

Results
The formation energy comes out at 0.059 eV per atom. As for the density of states at the Fermi level: 0.9 states/eV/f.u.



[16]
Entry from Alexandria: a geometry-optimized Cd7Pb structure (PBEsol).

```
Cd7Pb
1.0
0.000 4.457 4.457
4.457 0.000 4.457
4.457 4.457 0.000
Cd Pb
7 1
direct
0.000 0.000 0.000 Cd
0.000 0.000 0.500 Cd
0.000 0.500 0.000 Cd
0.000 0.500 0.500 Cd
0.500 0.000 0.000 Cd
0.500 0.000 0.500 Cd
0.500 0.500 0.000 Cd
0.500 0.500 0.500 Pb
```

Results
The formation energy comes out at 0.043 eV per atom. As for the density of states at the Fermi level: 1.6 states/eV/f.u.



[17]
Entry from Alexandria: a geometry-optimized CdPb3 structure (PBEsol).

```
CdPb3
1.0
5.583 0.000 0.000
0.000 5.583 0.000
0.000 0.000 3.567
Cd Pb
1 3
direct
0.000 0.000 0.000 Cd
0.000 0.500 0.500 Pb
0.500 0.000 0.500 Pb
0.500 0.500 0.000 Pb
```

Results
The formation energy comes out at 0.076 eV per atom. As for the density of states at the Fermi level: 1.9 states/eV/f.u.



[18]
Entry from Alexandria: a geometry-optimized Cd5Pb structure (PBEsol).

```
Cd5Pb
1.0
11.599 0.000 0.000
0.000 3.271 0.000
-2.482 0.000 7.172
Cd Pb
10 2
direct
0.000 0.000 0.000 Cd
0.035 0.000 0.618 Cd
0.139 0.500 0.349 Cd
0.208 0.500 0.915 Cd
0.320 0.000 0.676 Cd
0.500 0.500 0.000 Cd
0.535 0.500 0.618 Cd
0.639 0.000 0.349 Cd
0.708 0.000 0.915 Cd
0.820 0.500 0.676 Cd
0.358 0.000 0.270 Pb
0.858 0.500 0.270 Pb
```

Results
The formation energy comes out at 0.062 eV per atom. Its energy above the most stable polymorph in this dataset is 23 meV/atom. As for the density of states at the Fermi level: 2.2 states/eV/f.u.



[19]
Entry from Alexandria: a geometry-optimized Cd4Pb3 structure (PBEsol).

```
Cd4Pb3
1.0
3.334 0.000 0.000
0.000 3.334 0.000
0.000 0.000 31.421
Cd Pb
8 6
direct
0.000 0.000 0.074 Cd
0.000 0.000 0.365 Cd
0.000 0.000 0.635 Cd
0.000 0.000 0.926 Cd
0.500 0.500 0.135 Cd
0.500 0.500 0.426 Cd
0.500 0.500 0.574 Cd
0.500 0.500 0.865 Cd
0.000 0.000 0.208 Pb
0.000 0.000 0.500 Pb
0.000 0.000 0.792 Pb
0.500 0.500 0.000 Pb
0.500 0.500 0.292 Pb
0.500 0.500 0.708 Pb
```

Results
The formation energy comes out at 0.045 eV per atom. As for the density of states at the Fermi level: 2.8 states/eV/f.u.



[20]
Entry from Alexandria: a geometry-optimized CdPb structure (PBEsol).

```
CdPb
1.0
3.397 0.000 0.000
0.000 5.756 0.000
0.000 0.000 10.696
Cd Pb
4 4
direct
0.000 0.250 0.110 Cd
0.000 0.750 0.890 Cd
0.500 0.250 0.890 Cd
0.500 0.750 0.110 Cd
0.000 0.250 0.643 Pb
0.000 0.750 0.357 Pb
0.500 0.250 0.357 Pb
0.500 0.750 0.643 Pb
```

Results
The formation energy comes out at 0.077 eV per atom. As for the density of states at the Fermi level: 0.9 states/eV/f.u.